# La4Nd2Dy3 PBE-GGA optimized geometry
data_La4Nd2Dy3
_cell_length_a 11.666
_cell_length_b 5.889
_cell_length_c 9.329
_cell_angle_alpha 90.00
_cell_angle_beta 102.80
_cell_angle_gamma 90.00
_symmetry_space_group_name_H-M 'C 1 2/m 1'
_symmetry_Int_Tables_number 12
_symmetry_space_group_name_Hall '-C 2y'
loop_
_atom_site_label
_atom_site_type_symbol
_atom_site_fract_x
_atom_site_fract_y
_atom_site_fract_z
La1 La 0.192 0.000 0.456
La2 La 0.238 0.500 0.871
Nd1 Nd 0.066 0.000 0.789
Dy1 Dy 0.000 0.500 0.500
Dy2 Dy 0.102 0.500 0.179
# **Excess energy over the best structure of this formula in the dataset**: 0.659 eV per formula unit
# **E_form**: 0.0954 eV per atom